Record 1
# TmTlPO PBE relaxed
data_TmTlPO
_chemical_formula_sum 'Tm2 Tl2 P2 O2'
_space_group_name_H-M_alt 'P m c 21'
_space_group_IT_number 26
_space_group_name_Hall 'P 2c -2'
_cell_length_a 3.988
_cell_length_b 7.960
_cell_length_c 5.701
_cell_angle_alpha 90.00
_cell_angle_beta 90.00
_cell_angle_gamma 90.00
loop_
_atom_site_label
_atom_site_type_symbol
_atom_site_fract_x
_atom_site_fract_y
_atom_site_fract_z
Tm1 Tm 0.000 0.180 0.000
Tl1 Tl 0.500 0.379 0.532
P1 P 0.000 0.166 0.495
O1 O 0.500 0.279 0.990
# Crystal system: orthorhombic

---

Record 2
# Nb9As7Pd PBE relaxed
data_Nb9As7Pd
_chemical_formula_sum 'Nb27 As21 Pd3'
_space_group_name_H-M_alt 'P -6'
_space_group_IT_number 174
_space_group_name_Hall 'P -6'
_cell_length_a 16.7604
_cell_length_b 16.7604
_cell_length_c 3.5969
_cell_angle_alpha 90.00
_cell_angle_beta 90.00
_cell_angle_gamma 120.00
loop_
_atom_site_label
_atom_site_type_symbol
_atom_site_fract_x
_atom_site_fract_y
_atom_site_fract_z
Nb1 Nb 0.0071 0.3106 0.0000
Nb2 Nb 0.0156 0.4657 0.5000
Nb3 Nb 0.0456 0.1330 0.0000
Nb4 Nb 0.1311 0.7788 0.0000
Nb5 Nb 0.2072 0.6709 0.5000
Nb6 Nb 0.2606 0.1719 0.0000
Nb7 Nb 0.3626 0.3409 0.5000
Nb8 Nb 0.4057 0.1621 0.5000
Nb9 Nb 0.5789 0.3788 0.5000
As1 As 0.0000 0.0000 0.5000
As2 As 0.0440 0.8241 0.5000
As3 As 0.0702 0.5973 0.0000
As4 As 0.1382 0.3985 0.5000
As5 As 0.2182 0.0402 0.5000
As6 As 0.3333 0.6667 0.0000
As7 As 0.4477 0.2936 0.0000
As8 As 0.4902 0.1142 0.0000
As9 As 0.6667 0.3333 0.0000
Pd1 Pd 0.1780 0.5166 0.0000
# Crystal system: hexagonal

---

no.,raw total energy (eV per cell),total magnetization (μB per cell)
1,-44.10,0.308
2,-416.13,0.018